Record 1
A plane-wave DFT calculation with PBE was carried out for crystalline LiMn2Cu at its relaxed geometry.

Values from the calculation:
Energy relative to the elements (eV per atom): 0.2122
Fermi-level density of states (states/eV/atom): 1.2748
Total energy (eV/atom): -5.875

Geometry as POSCAR:
```
LiMn2Cu
1.0
-0.368 -3.052 2.832
-1.411 -2.631 -2.926
3.640 1.990 -0.514
Cu Li Mn
1 1 2
direct
0.500 0.500 0.000
0.750 0.250 0.500
0.000 0.000 0.000
0.250 0.750 0.500
```

---

Record 2
A plane-wave DFT calculation with PBE was carried out for crystalline Ba2LaRh at its relaxed geometry.

Values from the calculation:
Energy relative to the elements (eV per atom): -0.2038
Fermi-level density of states (states/eV/atom): 1.3167
Total energy (eV/atom): -4.235
E above lowest polymorph (eV per atom): 0.1298

Geometry as POSCAR:
```
Ba2LaRh
1.0
2.718 -2.707 0.000
2.718 2.707 0.000
0.000 0.000 10.689
Ba La Rh
2 1 1
direct
0.000 0.000 0.080
0.500 0.500 0.720
0.000 0.000 0.406
0.500 0.500 0.294
```

---

Record 3
A plane-wave DFT calculation with PBE was carried out for crystalline Be3CoBr at its relaxed geometry.

Values from the calculation:
Fermi-level density of states (states/eV/atom): 0.5380
Total energy (eV/atom): -2.299
E above lowest polymorph (eV per atom): 0.8551

Geometry as POSCAR:
```
Be3CoBr
1.0
4.262 0.000 0.000
0.000 4.262 0.000
0.000 0.000 4.262
Be Co Br
3 1 1
direct
0.000 0.500 0.000
0.000 0.000 0.500
0.500 0.000 0.000
0.500 0.500 0.500
0.000 0.000 0.000
```

---

- What is the formula in the second record?
  Ba2LaRh

---

Please write out number 3 again, unchanged.
A plane-wave DFT calculation with PBE was carried out for crystalline Be3CoBr at its relaxed geometry.

Values from the calculation:
Fermi-level density of states (states/eV/atom): 0.5380
Total energy (eV/atom): -2.299
E above lowest polymorph (eV per atom): 0.8551

Geometry as POSCAR:
```
Be3CoBr
1.0
4.262 0.000 0.000
0.000 4.262 0.000
0.000 0.000 4.262
Be Co Br
3 1 1
direct
0.000 0.500 0.000
0.000 0.000 0.500
0.500 0.000 0.000
0.500 0.500 0.500
0.000 0.000 0.000
```